Here is a relaxed structure of ZrTc3 from Alexandria. Energies are from PBE.

a b c (Å): 2.8132 5.2276 5.2276
angles (deg): 116.85 100.33 100.33
Atoms (fractional coordinates):
Tc 0.0000 0.0000 0.0000
Tc 0.5000 0.5000 0.0000
Tc 0.0000 0.5000 0.5000
Zr 0.5000 0.0000 0.5000

Properties
- DOS at the Fermi energy (states/eV per atom) = 0.87
- E_tot (eV/atom) = -9.91
- space group = R-3m, No. 166
- density (g/cm3) = 9.93

Here is a relaxed structure of KReI2F6 from Alexandria. Energies are from PBE.

a b c (Å): 5.7202 7.0606 12.5970
angles (deg): 90.00 90.00 90.00
Atoms (fractional coordinates):
K 0.0000 0.5820 0.5000
K 0.5000 0.4180 0.0000
Re 0.5000 0.0760 0.5000
Re 0.0000 0.9240 0.0000
I 0.5000 0.5576 0.2601
I 0.0000 0.4424 0.7601
I 0.5000 0.5576 0.7399
I 0.0000 0.4424 0.2399
F 0.5000 0.0741 0.3501
F 0.5000 0.0741 0.6499
F 0.0000 0.9259 0.1499
F 0.0000 0.9259 0.8501
F 0.2672 0.8785 0.5000
F 0.7328 0.8785 0.5000
F 0.2673 0.2730 0.5000
F 0.7327 0.2730 0.5000
F 0.7673 0.7270 0.0000
F 0.2327 0.7270 0.0000
F 0.2328 0.1215 0.0000
F 0.7672 0.1215 0.0000

Properties
- DOS at the Fermi energy (states/eV per atom) = 1.03
- E_tot (eV/atom) = -4.64
- space group = Pmmn, No. 59
- density (g/cm3) = 3.87
- formation energy (no corrections) (eV/atom) = -1.855

Here is a relaxed structure of RbGaAg2F6 from Alexandria. Energies are from PBE.

a b c (Å): 6.2867 6.2899 6.1372
angles (deg): 59.15 59.17 59.96
Atoms (fractional coordinates):
Rb 0.8162 0.8161 0.5514
Ga 0.3162 0.3162 0.0515
Ag 0.5418 0.5420 0.3744
Ag 0.0906 0.0902 0.7286
F 0.4809 0.2565 0.2803
F 0.2539 0.9838 0.2823
F 0.9827 0.4838 0.2780
F 0.3785 0.6485 0.8209
F 0.6495 0.1485 0.8249
F 0.1512 0.3759 0.8228

Properties
- DOS at the Fermi energy (states/eV per atom) = 0.00
- E_tot (eV/atom) = -4.13
- space group = P-1, No. 2
- density (g/cm3) = 4.76
- formation energy (no corrections) (eV/atom) = -2.035